Below is crystalline Y3TiSi at its relaxed geometry, with properties calculated at the GGA-PBE level.

Structure (POSCAR):
```
Y3TiSi
1.0
-2.956 -4.325 -1.319
4.451 -3.061 0.062
-0.797 -1.053 5.238
Y Si Ti
3 1 1
direct
0.000 0.500 0.000 Y
0.000 0.000 0.500 Y
0.500 0.000 0.000 Y
0.000 0.000 0.000 Si
0.500 0.500 0.500 Ti
```

Calculated values
Its space-group type is Pm-3m, No. 221. The calculation puts the excess energy over the best structure of this formula in the dataset at 0 meV per atom.


Below is crystalline Y2Ti2Si at its relaxed geometry, with properties calculated at the GGA-PBE level.

Structure (POSCAR):
```
Y2Ti2Si
1.0
-6.628 -0.630 -1.867
0.361 -6.829 1.022
-1.284 0.585 4.362
Y Si Ti
4 2 4
direct
0.166 0.666 0.500 Y
0.666 0.834 0.500 Y
0.834 0.334 0.500 Y
0.334 0.166 0.500 Y
0.000 0.000 0.000 Si
0.500 0.500 0.000 Si
0.359 0.859 0.000 Ti
0.859 0.641 0.000 Ti
0.641 0.141 0.000 Ti
0.141 0.359 0.000 Ti
```

Calculated values
Its space-group type is P4/mbm, No. 127.


Below is crystalline YTi3Si at its relaxed geometry, with properties calculated at the GGA-PBE level.

Structure (POSCAR):
```
YTi3Si
1.0
-0.398 4.744 0.196
-4.255 -0.269 -2.127
-2.107 -0.352 4.259
Y Si Ti
1 1 3
direct
0.000 0.000 0.000 Y
0.500 0.500 0.500 Si
0.000 0.500 0.000 Ti
0.000 0.000 0.500 Ti
0.500 0.000 0.000 Ti
```

Calculated values
Its space-group type is Pm-3m, No. 221. The calculation puts the excess energy over the best structure of this formula in the dataset at 1460 meV per atom.


Below is crystalline YTiSi at its relaxed geometry, with properties calculated at the GGA-PBE level.

Structure (POSCAR):
```
YTiSi
1.0
4.036 0.000 0.000
0.000 4.036 0.000
0.000 0.000 7.585
Y Ti Si
2 2 2
direct
0.000 0.500 0.344 Y
0.500 0.000 0.656 Y
0.000 0.000 0.000 Ti
0.500 0.500 0.000 Ti
0.000 0.500 0.764 Si
0.500 0.000 0.236 Si
```

Calculated values
Its space-group type is P4/nmm, No. 129.


Below is crystalline Y2TiSi2 at its relaxed geometry, with properties calculated at the GGA-PBE level.

Structure (POSCAR):
```
Y2TiSi2
1.0
2.912 0.000 0.000
0.000 2.912 0.000
0.000 0.000 14.074
Y Ti Si
2 1 2
direct
0.500 0.500 0.621 Y
0.500 0.500 0.379 Y
0.500 0.500 0.000 Ti
0.500 0.500 0.179 Si
0.500 0.500 0.821 Si
```

Calculated values
Its space-group type is P4/mmm, No. 123. The calculation puts the excess energy over the best structure of this formula in the dataset at 1436 meV per atom.


Below is crystalline YTi2Si4 at its relaxed geometry, with properties calculated at the GGA-PBE level.

Structure (POSCAR):
```
YTi2Si4
1.0
-1.123 -2.591 2.504
3.453 -0.014 1.534
-3.423 7.247 3.118
Y Ti Si
1 2 4
direct
0.500 0.000 0.000 Y
0.816 0.816 0.631 Ti
0.184 0.184 0.369 Ti
0.661 0.661 0.322 Si
0.339 0.339 0.678 Si
0.072 0.573 0.145 Si
0.928 0.427 0.855 Si
```

Calculated values
Its space-group type is Immm, No. 71.


Below is crystalline Y2TiSi at its relaxed geometry, with properties calculated at the GGA-PBE level.

Structure (POSCAR):
```
Y2TiSi
1.0
8.185 0.000 0.000
0.000 8.185 0.000
4.092 4.092 2.889
Y Si Ti
4 2 2
direct
0.588 0.125 0.250 Y
0.162 0.625 0.250 Y
0.375 0.412 0.750 Y
0.875 0.838 0.750 Y
0.500 0.500 0.000 Si
0.250 0.750 0.500 Si
0.000 0.000 0.000 Ti
0.750 0.250 0.500 Ti
```

Calculated values
Its space-group type is I-42d, No. 122.


Below is crystalline YTi2Si at its relaxed geometry, with properties calculated at the GGA-PBE level.

Structure (POSCAR):
```
YTi2Si
1.0
7.714 0.000 0.000
0.000 7.714 0.000
3.857 3.857 2.801
Y Si Ti
2 2 4
direct
0.000 0.000 0.000 Y
0.750 0.250 0.500 Y
0.500 0.500 0.000 Si
0.250 0.750 0.500 Si
0.570 0.125 0.250 Ti
0.180 0.625 0.250 Ti
0.375 0.430 0.750 Ti
0.875 0.820 0.750 Ti
```

Calculated values
Its space-group type is I-42d, No. 122.


In meV/atom, the raw formation energy values for the records above are, in order, 255; -93; 1611; -673; 756; -614; 214; 112.